[1]
The following is a PBE calculation of a relaxed structure of Ce2WN5, from the Alexandria database.

Computed properties:
- ρ: 7.0 g/cm³
- Raw total energy: -289.59 eV for the cell shown
- M_tot: 0.00 μB/cell
- Raw formation energy: -0.74 eV per atom

The structure in CIF format:
```
data_Ce2WN5
_chemical_formula_sum 'Ce8 W4 N20'
_symmetry_space_group_name_H-M 'C m c m'
_symmetry_Int_Tables_number 63
_symmetry_space_group_name_Hall '-C 2c 2'
_cell_length_a 4.0794
_cell_length_b 11.6239
_cell_length_c 10.7006
_cell_angle_alpha 90.00
_cell_angle_beta 90.00
_cell_angle_gamma 90.00
loop_
_atom_site_label
_atom_site_type_symbol
_atom_site_fract_x
_atom_site_fract_y
_atom_site_fract_z
_atom_site_occupancy
Ce1 Ce 0.0000 0.1439 0.0753 1
W1 W 0.0000 0.1656 0.7500 1
N1 N 0.0000 0.0526 0.6224 1
N2 N 0.0000 0.2833 0.2500 1
N3 N 0.0000 0.2854 0.5883 1
```

[2]
The following is a PBE calculation of a relaxed structure of BeHg2Br, from the Alexandria database.

Computed properties:
- ρ: 7.7 g/cm³
- Energy relative to the lowest polymorph listed for this composition: 126 meV per atom
- Raw total energy: -11.53 eV for the cell shown
- M_tot: 0.00 μB/cell
- Raw formation energy: 0.06 eV per atom

The structure in CIF format:
```
data_BeHg2Br
_chemical_formula_sum 'Be2 Hg4 Br2'
_symmetry_space_group_name_H-M 'I m m 2'
_symmetry_Int_Tables_number 44
_cell_length_a 3.2853
_cell_length_b 6.6240
_cell_length_c 9.7563
_cell_angle_alpha 90.00
_cell_angle_beta 90.00
_cell_angle_gamma 90.00
loop_
_symmetry_equiv_pos_as_xyz
'x,y,z'
'-x,-y,z'
'-x,y,z'
'x,-y,z'
'x+1/2,y+1/2,z+1/2'
'-x+1/2,-y+1/2,z+1/2'
'-x+1/2,y+1/2,z+1/2'
'x+1/2,-y+1/2,z+1/2'
loop_
_atom_site_label
_atom_site_type_symbol
_atom_site_fract_x
_atom_site_fract_y
_atom_site_fract_z
_atom_site_occupancy
Be1 Be 0.0000 0.0000 0.0000 1
Hg1 Hg 0.0000 0.0000 0.5077 1
Hg2 Hg 0.0000 0.5000 0.3025 1
Br1 Br 0.0000 0.5000 0.6520 1
```

[3]
The following is a PBE calculation of a relaxed structure of K2PmGaS4, from the Alexandria database.

Computed properties:
- ρ: 3.5 g/cm³
- Raw total energy: -144.92 eV for the cell shown
- M_tot: 0.00 μB/cell
- Raw formation energy: -1.22 eV per atom

The structure in CIF format:
```
data_K2PmGaS4
_chemical_formula_sum 'K8 Pm4 Ga4 S16'
_symmetry_space_group_name_H-M 'C 1 2/c 1'
_symmetry_Int_Tables_number 15
_cell_length_a 11.4794
_cell_length_b 11.8397
_cell_length_c 8.0602
_cell_angle_alpha 90.00
_cell_angle_beta 132.52
_cell_angle_gamma 90.00
loop_
_symmetry_equiv_pos_as_xyz
'x,y,z'
'-x,-y,-z'
'-x,y,-z+1/2'
'x,-y,z+1/2'
'x+1/2,y+1/2,z'
'-x+1/2,-y+1/2,-z'
'-x+1/2,y+1/2,-z+1/2'
'x+1/2,-y+1/2,z+1/2'
loop_
_atom_site_label
_atom_site_type_symbol
_atom_site_fract_x
_atom_site_fract_y
_atom_site_fract_z
_atom_site_occupancy
K1 K 0.0000 0.0000 0.0000 1
K2 K 0.2500 0.2500 0.0000 1
Pm1 Pm 0.2500 0.2500 0.5000 1
Ga1 Ga 0.0000 0.5000 0.0000 1
S1 S 0.0049 0.2670 0.0268 1
S2 S 0.1983 0.4925 0.4801 1
```

[4]
The following is a PBE calculation of a relaxed structure of KBaHg2Cl8, from the Alexandria database.

Computed properties:
- ρ: 3.7 g/cm³
- Raw total energy: -65.05 eV for the cell shown
- M_tot: 1.22 μB/cell
- Raw formation energy: -1.18 eV per atom

The structure in CIF format:
```
data_KBaHg2Cl8
_chemical_formula_sum 'K2 Ba2 Hg4 Cl16'
_symmetry_space_group_name_H-M 'I -4'
_symmetry_Int_Tables_number 82
_cell_length_a 7.2036
_cell_length_b 7.2036
_cell_length_c 14.8126
_cell_angle_alpha 90.00
_cell_angle_beta 90.00
_cell_angle_gamma 90.00
loop_
_symmetry_equiv_pos_as_xyz
'x,y,z'
'y,-x,-z'
'-x,-y,z'
'-y,x,-z'
'x+1/2,y+1/2,z+1/2'
'y+1/2,-x+1/2,-z+1/2'
'-x+1/2,-y+1/2,z+1/2'
'-y+1/2,x+1/2,-z+1/2'
loop_
_atom_site_label
_atom_site_type_symbol
_atom_site_fract_x
_atom_site_fract_y
_atom_site_fract_z
_atom_site_occupancy
K1 K 0.0000 0.0000 0.0000 1
Ba1 Ba 0.0000 0.5000 0.2500 1
Hg1 Hg 0.0000 0.0000 0.5000 1
Hg2 Hg 0.0000 0.5000 0.7500 1
Cl1 Cl 0.1609 0.2634 0.4174 1
Cl2 Cl 0.1683 0.7614 0.8283 1
```

[5]
The following is a PBE calculation of a relaxed structure of Nd5Dy2Er12, from the Alexandria database.

Computed properties:
- ρ: 8.3 g/cm³
- Energy relative to the lowest polymorph listed for this composition: 0 meV per atom
- Raw total energy: -86.60 eV for the cell shown
- M_tot: 0.00 μB/cell
- Formation energy from the elements: 0.063 eV/atom

The structure in CIF format:
```
data_Nd5Dy2Er12
_chemical_formula_sum 'Nd5 Dy2 Er12'
_symmetry_space_group_name_H-M 'P -1'
_symmetry_Int_Tables_number 2
_cell_length_a 6.2647
_cell_length_b 9.0321
_cell_length_c 10.9016
_cell_angle_alpha 87.24
_cell_angle_beta 82.28
_cell_angle_gamma 87.91
loop_
_symmetry_equiv_pos_as_xyz
'x,y,z'
'-x,-y,-z'
loop_
_atom_site_label
_atom_site_type_symbol
_atom_site_fract_x
_atom_site_fract_y
_atom_site_fract_z
_atom_site_occupancy
Nd1 Nd 0.0000 0.0000 0.0000 1
Nd2 Nd 0.1220 0.9873 0.3445 1
Nd3 Nd 0.2735 0.5502 0.9421 1
Dy1 Dy 0.4558 0.4945 0.3457 1
Er1 Er 0.0135 0.3419 0.7680 1
Er2 Er 0.0739 0.6635 0.5487 1
Er3 Er 0.1818 0.2948 0.1605 1
Er4 Er 0.3550 0.8572 0.7492 1
Er5 Er 0.3995 0.1751 0.5559 1
Er6 Er 0.4968 0.8241 0.1131 1
```

[6]
The following is a PBE calculation of a relaxed structure of Rb3SrHf, from the Alexandria database.

Computed properties:
- ρ: 2.4 g/cm³
- Raw total energy: -8.83 eV for the cell shown
- M_tot: 4.96 μB/cell
- Formation energy from the elements: 1.141 eV/atom

The structure in CIF format:
```
data_Rb3SrHf
_chemical_formula_sum 'Rb3 Sr1 Hf1'
_symmetry_space_group_name_H-M 'P m -3 m'
_symmetry_Int_Tables_number 221
_symmetry_space_group_name_Hall '-P 4 2 3'
_cell_length_a 7.0921
_cell_length_b 7.0921
_cell_length_c 7.0921
_cell_angle_alpha 90.00
_cell_angle_beta 90.00
_cell_angle_gamma 90.00
loop_
_atom_site_label
_atom_site_type_symbol
_atom_site_fract_x
_atom_site_fract_y
_atom_site_fract_z
_atom_site_occupancy
Rb1 Rb 0.0000 0.0000 0.5000 1
Sr1 Sr 0.5000 0.5000 0.5000 1
Hf1 Hf 0.0000 0.0000 0.0000 1
```

[7]
The following is a PBE calculation of a relaxed structure of Ce4B2N5, from the Alexandria database.

Computed properties:
- ρ: 7.3 g/cm³
- Raw total energy: -188.45 eV for the cell shown
- M_tot: 3.15 μB/cell
- Raw formation energy: -1.41 eV per atom

The structure in CIF format:
```
data_Ce4B2N5
_chemical_formula_sum 'Ce8 B4 N10'
_symmetry_space_group_name_H-M 'C 1 2/m 1'
_symmetry_Int_Tables_number 12
_cell_length_a 12.1443
_cell_length_b 3.5447
_cell_length_c 8.9184
_cell_angle_alpha 90.00
_cell_angle_beta 129.48
_cell_angle_gamma 90.00
loop_
_symmetry_equiv_pos_as_xyz
'x,y,z'
'-x,-y,-z'
'-x,y,-z'
'x,-y,z'
'x+1/2,y+1/2,z'
'-x+1/2,-y+1/2,-z'
'-x+1/2,y+1/2,-z'
'x+1/2,-y+1/2,z'
loop_
_atom_site_label
_atom_site_type_symbol
_atom_site_fract_x
_atom_site_fract_y
_atom_site_fract_z
_atom_site_occupancy
Ce1 Ce 0.0747 0.0000 0.3475 1
Ce2 Ce 0.1876 0.5000 0.1129 1
B1 B 0.0889 0.5000 0.6096 1
N1 N 0.0000 0.0000 0.0000 1
N2 N 0.1207 0.5000 0.8014 1
N3 N 0.2082 0.5000 0.6031 1
```

[8]
The following is a PBE calculation of a relaxed structure of SbAs2Rh8, from the Alexandria database.

Computed properties:
- ρ: 10.8 g/cm³
- Raw total energy: -149.66 eV for the cell shown
- M_tot: 0.00 μB/cell
- Raw formation energy: -0.24 eV per atom

The structure in CIF format:
```
data_SbAs2Rh8
_chemical_formula_sum 'Sb2 As4 Rh16'
_symmetry_space_group_name_H-M 'I m m m'
_symmetry_Int_Tables_number 71
_symmetry_space_group_name_Hall '-I 2 2'
_cell_length_a 3.9876
_cell_length_b 6.8678
_cell_length_c 12.2402
_cell_angle_alpha 90.00
_cell_angle_beta 90.00
_cell_angle_gamma 90.00
loop_
_atom_site_label
_atom_site_type_symbol
_atom_site_fract_x
_atom_site_fract_y
_atom_site_fract_z
_atom_site_occupancy
Sb1 Sb 0.0000 0.0000 0.0000 1
As1 As 0.0000 0.0000 0.3251 1
Rh1 Rh 0.0000 0.1997 0.5000 1
Rh2 Rh 0.0000 0.2778 0.1696 1
Rh3 Rh 0.0000 0.5000 0.3543 1
```

[9]
The following is a PBE calculation of a relaxed structure of Ti7PS12, from the Alexandria database.

Computed properties:
- ρ: 3.2 g/cm³
- Raw total energy: -401.43 eV for the cell shown
- M_tot: 0.00 μB/cell
- Raw formation energy: -1.18 eV per atom

The structure in CIF format:
```
data_Ti7PS12
_chemical_formula_sum 'Ti21 P3 S36'
_symmetry_space_group_name_H-M 'R -3'
_symmetry_Int_Tables_number 148
_symmetry_space_group_name_Hall '-R 3'
_cell_length_a 12.5818
_cell_length_b 12.5818
_cell_length_c 8.4506
_cell_angle_alpha 90.00
_cell_angle_beta 90.00
_cell_angle_gamma 120.00
loop_
_atom_site_label
_atom_site_type_symbol
_atom_site_fract_x
_atom_site_fract_y
_atom_site_fract_z
_atom_site_occupancy
Ti1 Ti 0.0000 0.0000 0.0000 1
Ti2 Ti 0.0589 0.1867 0.3252 1
P1 P 0.0000 0.0000 0.5000 1
S1 S 0.0256 0.5851 0.1659 1
S2 S 0.0527 0.1759 0.8315 1
```

[10]
The following is a PBE calculation of a relaxed structure of AcTlZnAu, from the Alexandria database.

Computed properties:
- ρ: 11.2 g/cm³
- Raw total energy: -50.69 eV for the cell shown
- M_tot: 0.00 μB/cell
- Formation energy from the elements: -0.411 eV/atom

The structure in CIF format:
```
data_AcTlZnAu
_chemical_formula_sum 'Ac4 Tl4 Zn4 Au4'
_symmetry_space_group_name_H-M 'F -4 3 m'
_symmetry_Int_Tables_number 216
_symmetry_space_group_name_Hall 'F -4 2 3'
_cell_length_a 7.4329
_cell_length_b 7.4329
_cell_length_c 7.4329
_cell_angle_alpha 90.00
_cell_angle_beta 90.00
_cell_angle_gamma 90.00
loop_
_atom_site_label
_atom_site_type_symbol
_atom_site_fract_x
_atom_site_fract_y
_atom_site_fract_z
_atom_site_occupancy
Ac1 Ac 0.0000 0.0000 0.0000 1
Tl1 Tl 0.0000 0.0000 0.5000 1
Zn1 Zn 0.2500 0.2500 0.2500 1
Au1 Au 0.2500 0.2500 0.7500 1
```

[11]
The following is a PBE calculation of a relaxed structure of SrPtW2, from the Alexandria database.

Computed properties:
- ρ: 14.3 g/cm³
- Energy relative to the lowest polymorph listed for this composition: 358 meV per atom
- Raw total energy: -61.78 eV for the cell shown
- M_tot: 0.00 μB/cell
- Formation energy from the elements: 0.684 eV/atom

The structure in CIF format:
```
data_SrPtW2
_chemical_formula_sum 'Sr2 Pt2 W4'
_symmetry_space_group_name_H-M 'C m m m'
_symmetry_Int_Tables_number 65
_symmetry_space_group_name_Hall '-C 2 2'
_cell_length_a 3.9385
_cell_length_b 3.9613
_cell_length_c 9.6846
_cell_angle_alpha 90.00
_cell_angle_beta 90.00
_cell_angle_gamma 90.00
loop_
_atom_site_label
_atom_site_type_symbol
_atom_site_fract_x
_atom_site_fract_y
_atom_site_fract_z
_atom_site_occupancy
Sr1 Sr 0.0000 0.0000 0.0000 1
Pt1 Pt 0.0000 0.0000 0.5000 1
W1 W 0.0000 0.5000 0.2892 1
```